DFT (PBE) results for crystalline Ac3Al2GaHg6 at its relaxed geometry.

```
Ac3Al2GaHg6
1.0
6.7292 0.0000 0.0000
-3.3646 5.8277 0.0000
0.0000 0.0000 8.8279
Ac Al Ga Hg
3 2 1 6
Cartesian
0.0000 0.0000 0.0000
0.0000 3.8851 5.7834
3.3646 1.9426 3.0445
0.0000 3.8851 0.3814
3.3646 1.9426 8.4465
0.0000 0.0000 4.4140
0.0000 2.0784 2.5640
-1.5646 4.7885 2.5640
1.8000 1.0392 6.2639
1.5646 4.7885 2.5640
4.9292 1.0392 6.2639
3.3646 3.7493 6.2639
```

Computed properties:
Uncorrected energy (eV/atom): -2.2221